# 1
The following is a PBE calculation of a geometry-optimized Li4In5Pb structure, from the Alexandria database.

Cell lengths 3.469, 3.469, 18.022 Å; angles 90.00, 90.00, 90.00 degrees
Positions (direct):
Li1 0.000 0.000 0.231
Li2 0.000 0.000 0.411
Li3 0.000 0.000 0.589
Li4 0.000 0.000 0.769
In1 0.500 0.500 0.133
In2 0.500 0.500 0.322
In3 0.500 0.500 0.500
In4 0.500 0.500 0.678
In5 0.500 0.500 0.867
Pb1 0.000 0.000 0.000

Symmetry: P4/mmm, No. 123
V: 216.9 Å³ per cell

=====

# 2
The following is a PBE calculation of a geometry-optimized LiIn2Pb3 structure, from the Alexandria database.

Cell lengths 3.517, 5.772, 9.005 Å; angles 93.30, 113.70, 90.01 degrees
Positions (direct):
Li1 0.000 0.000 0.000
In1 0.192 0.826 0.692
In2 0.808 0.174 0.308
Pb1 0.500 0.500 0.000
Pb2 0.653 0.303 0.653
Pb3 0.347 0.697 0.347

Symmetry: P-1, No. 2
V: 167.1 Å³ per cell

=====

# 3
The following is a PBE calculation of a geometry-optimized LiIn2Pb3 structure, from the Alexandria database.

Cell lengths 8.968, 7.728, 7.728 Å; angles 141.62, 90.00, 90.00 degrees
Positions (direct):
Li1 0.720 0.000 0.000
Li2 0.220 0.000 0.000
In1 0.720 0.335 0.665
In2 0.220 0.335 0.665
In3 0.220 0.665 0.335
In4 0.720 0.665 0.335
Pb1 0.470 0.163 0.837
Pb2 0.970 0.163 0.837
Pb3 0.470 0.500 0.500
Pb4 0.970 0.500 0.500
Pb5 0.970 0.837 0.163
Pb6 0.470 0.837 0.163

Symmetry: Cmmm, No. 65
V: 332.5 Å³ per cell

=====

# 4
The following is a PBE calculation of a geometry-optimized Li5In2Pb2 structure, from the Alexandria database.

Cell lengths 4.852, 5.717, 8.911 Å; angles 64.99, 74.20, 64.89 degrees
Positions (direct):
Li1 0.400 0.987 0.212
Li2 0.600 0.013 0.788
Li3 0.108 0.480 0.303
Li4 0.892 0.520 0.697
Li5 0.000 0.000 0.000
In1 0.318 0.457 0.906
In2 0.682 0.543 0.094
Pb1 0.185 0.015 0.615
Pb2 0.815 0.985 0.385

Symmetry: C2/m, No. 12
Distance to the lowest polymorph of the same formula: 0 meV per atom
V: 201.5 Å³ per cell

=====

no.,calculated formation energy (eV per atom)
1,-0.210
2,-0.059
3,-0.058
4,-0.206